Entry 1:
VASP calculation (PBE) on Pm4Ho2ErTm2 after structural relaxation.

Results
For the volume, the calculation gives 289.6 Å³ per cell. The value obtained for the density of states at the Fermi level is 13.09 states/eV/f.u. For the formation energy, the calculation gives 22 meV per atom. The total DFT energy (no corrections) comes out at -4.607 eV per atom.

Cell: 5.043 7.990 7.982 Å, 107.44 90.00 108.40°
Atoms (fractional coordinates):
Pm1 0.777 0.555 0.668
Pm2 0.223 0.445 0.332
Pm3 0.554 0.108 0.331
Pm4 0.446 0.892 0.669
Ho1 0.889 0.777 0.330
Ho2 0.111 0.223 0.670
Er1 0.000 0.000 0.000
Tm1 0.333 0.666 0.000
Tm2 0.667 0.334 0.000

***

Entry 2:
VASP calculation (PBE) on Pm3Ho6Er2Tm after structural relaxation.

Results
For the volume, the calculation gives 378.8 Å³ per cell. The value obtained for the density of states at the Fermi level is 16.16 states/eV/f.u. For the formation energy, the calculation gives 20 meV per atom. The total DFT energy (no corrections) comes out at -4.589 eV per atom.

Cell: 6.148 6.148 11.745 Å, 95.00 95.00 119.96°
Atoms (fractional coordinates):
Pm1 0.167 0.833 0.500
Pm2 0.833 0.167 0.500
Pm3 0.500 0.500 0.500
Ho1 0.918 0.585 0.754
Ho2 0.749 0.749 0.246
Ho3 0.082 0.415 0.246
Ho4 0.585 0.918 0.754
Ho5 0.251 0.251 0.754
Ho6 0.415 0.082 0.246
Er1 0.333 0.667 0.000
Er2 0.667 0.333 0.000
Tm1 0.000 0.000 0.000

***

Entry 3:
VASP calculation (PBE) on PmHo2Er5Tm after structural relaxation.

Results
For the volume, the calculation gives 571.8 Å³ per cell. The value obtained for the density of states at the Fermi level is 14.29 states/eV/f.u. For the formation energy, the calculation gives 162 meV per atom. The total DFT energy (no corrections) comes out at -4.415 eV per atom.

Cell: 5.554 10.188 10.502 Å, 90.00 90.00 105.82°
Atoms (fractional coordinates):
Pm1 0.584 0.169 0.954
Pm2 0.416 0.831 0.454
Ho1 0.887 0.774 0.817
Ho2 0.111 0.221 0.736
Ho3 0.113 0.226 0.317
Ho4 0.889 0.779 0.236
Er1 0.387 0.773 0.022
Er2 0.719 0.437 0.812
Er3 0.479 0.958 0.737
Er4 0.299 0.597 0.710
Er5 0.982 0.963 0.524
Er6 0.613 0.227 0.522
Er7 0.281 0.563 0.312
Er8 0.521 0.042 0.237
Er9 0.701 0.403 0.210
Er10 0.018 0.037 0.024
Tm1 0.800 0.600 0.512
Tm2 0.200 0.400 0.012

***

Entry 4:
VASP calculation (PBE) on PmHo6Er2Tm3 after structural relaxation.

Results
For the volume, the calculation gives 370.0 Å³ per cell. The value obtained for the density of states at the Fermi level is 16.10 states/eV/f.u. For the formation energy, the calculation gives 21 meV per atom. The total DFT energy (no corrections) comes out at -4.542 eV per atom.

Cell: 6.095 6.095 11.672 Å, 94.98 94.98 119.94°
Atoms (fractional coordinates):
Pm1 0.000 0.000 0.000
Ho1 0.915 0.582 0.748
Ho2 0.751 0.751 0.252
Ho3 0.085 0.418 0.252
Ho4 0.582 0.915 0.748
Ho5 0.249 0.249 0.748
Ho6 0.418 0.085 0.252
Er1 0.333 0.667 0.000
Er2 0.667 0.333 0.000
Tm1 0.167 0.833 0.500
Tm2 0.833 0.167 0.500
Tm3 0.500 0.500 0.500

***

Entry 5:
VASP calculation (PBE) on Pm6HoErTm2 after structural relaxation.

Results
For the volume, the calculation gives 662.8 Å³ per cell. The value obtained for the density of states at the Fermi level is 14.33 states/eV/f.u. For the formation energy, the calculation gives 118 meV per atom. The total DFT energy (no corrections) comes out at -4.541 eV per atom.

Cell: 9.567 8.877 8.877 Å, 117.56 93.81 93.81°
Atoms (fractional coordinates):
Pm1 0.054 0.116 0.762
Pm2 0.446 0.238 0.884
Pm3 0.946 0.884 0.238
Pm4 0.554 0.762 0.116
Pm5 0.314 0.989 0.437
Pm6 0.186 0.563 0.011
Pm7 0.686 0.011 0.563
Pm8 0.814 0.437 0.989
Pm9 0.118 0.707 0.489
Pm10 0.382 0.511 0.293
Pm11 0.882 0.293 0.511
Pm12 0.618 0.489 0.707
Ho1 0.250 0.410 0.590
Ho2 0.750 0.590 0.410
Er1 0.250 0.972 0.028
Er2 0.750 0.028 0.972
Tm1 0.454 0.800 0.702
Tm2 0.046 0.298 0.200
Tm3 0.546 0.200 0.298
Tm4 0.954 0.702 0.800

***

Entry 6:
VASP calculation (PBE) on Pm2HoEr2Tm2 after structural relaxation.

Results
For the volume, the calculation gives 224.6 Å³ per cell. The value obtained for the density of states at the Fermi level is 11.45 states/eV/f.u. For the formation energy, the calculation gives 87 meV per atom. The total DFT energy (no corrections) comes out at -4.505 eV per atom.

Cell: 3.491 6.068 11.718 Å, 71.70 90.00 106.72°
Atoms (fractional coordinates):
Pm1 0.671 0.343 0.915
Pm2 0.329 0.657 0.085
Ho1 0.000 0.000 0.500
Er1 0.450 0.900 0.769
Er2 0.550 0.100 0.231
Tm1 0.773 0.547 0.364
Tm2 0.227 0.453 0.636